1.
This record from the Alexandria database describes a relaxed HfMg2Mo crystal. The functional is PBE.

a = 7.7815 Å, b = 7.7815 Å, c = 5.3929 Å
α = 90.00°, β = 90.00°, γ = 90.00°
Last column: nearest neighbours and their distance in Å.
Fractional positions:
Hf (0.0000, 0.0000, 0.0000)  2 Mo 2.70, 4 Mg 2.96
Hf (0.0000, 0.5000, 0.2500)  2 Mo 2.70, 4 Mg 2.96
Hf (0.5000, 0.0000, 0.7500)  2 Mo 2.70, 4 Mg 2.96
Hf (0.5000, 0.5000, 0.5000)  2 Mo 2.70, 4 Mg 2.96
Mg (0.2262, 0.7500, 0.6250)  2 Mo 2.71, 2 Mg 2.72, 2 Hf 2.96
Mg (0.2500, 0.2262, 0.3750)  2 Mo 2.71, 2 Mg 2.72, 2 Hf 2.96
Mg (0.2500, 0.2738, 0.8750)  2 Mo 2.71, 2 Mg 2.72, 2 Hf 2.96
Mg (0.2738, 0.7500, 0.1250)  2 Mo 2.71, 2 Mg 2.72, 2 Hf 2.96
Mg (0.7262, 0.2500, 0.1250)  2 Mo 2.71, 2 Mg 2.72, 2 Hf 2.96
Mg (0.7500, 0.7262, 0.8750)  2 Mo 2.71, 2 Mg 2.72, 2 Hf 2.96
Mg (0.7500, 0.7738, 0.3750)  2 Mo 2.71, 2 Mg 2.72, 2 Hf 2.96
Mg (0.7738, 0.2500, 0.6250)  2 Mo 2.71, 2 Mg 2.72, 2 Hf 2.96
Mo (0.0000, 0.0000, 0.5000)  2 Hf 2.70, 4 Mg 2.71
Mo (0.0000, 0.5000, 0.7500)  2 Hf 2.70, 4 Mg 2.71
Mo (0.5000, 0.0000, 0.2500)  2 Hf 2.70, 4 Mg 2.71
Mo (0.5000, 0.5000, 0.0000)  2 Hf 2.70, 4 Mg 2.71

Computed properties:
Offset from the most stable computed form, eV/atom: 0.229
ΔE_f, eV/atom: 0.716
Space group: I-42d, No. 122



2.
This record from the Alexandria database describes a relaxed HfMg6Mo crystal. The functional is PBE.

a = 5.0439 Å, b = 5.8004 Å, c = 11.2586 Å
α = 90.00°, β = 90.00°, γ = 90.00°
Last column: nearest neighbours and their distance in Å.
Fractional positions:
Hf (0.0000, 0.0000, 0.0000)  2 Mo 2.90, 10 Mg 3.05-3.17
Hf (0.0000, 0.5000, 0.5000)  2 Mo 2.90, 10 Mg 3.05-3.17
Mg (0.0000, 0.2499, 0.2502)  8 Mg 2.90-3.18, 2 Mo 3.13-3.20, 2 Hf 3.16-3.17
Mg (0.0000, 0.2501, 0.7502)  8 Mg 2.90-3.18, 2 Mo 3.13-3.20, 2 Hf 3.16-3.17
Mg (0.0000, 0.7501, 0.2502)  8 Mg 2.90-3.18, 2 Mo 3.13-3.20, 2 Hf 3.16-3.17
Mg (0.0000, 0.7499, 0.7502)  8 Mg 2.90-3.18, 2 Mo 3.13-3.20, 2 Hf 3.16-3.17
Mg (0.5000, 0.0000, 0.1517)  10 Mg 2.91-3.22, 2 Hf 3.05
Mg (0.5000, 0.0000, 0.6365)  8 Mg 2.91-3.18, 2 Mo 2.97
Mg (0.5000, 0.2428, 0.4094)  6 Mg 2.82-3.11, 2 Mo 3.05, 2 Hf 3.10
Mg (0.5000, 0.2572, 0.9094)  6 Mg 2.82-3.11, 2 Mo 3.05, 2 Hf 3.10
Mg (0.5000, 0.5000, 0.1365)  8 Mg 2.91-3.18, 2 Mo 2.97
Mg (0.5000, 0.5000, 0.6517)  10 Mg 2.91-3.22, 2 Hf 3.05
Mg (0.5000, 0.7428, 0.9094)  6 Mg 2.82-3.11, 2 Mo 3.05, 2 Hf 3.10
Mg (0.5000, 0.7572, 0.4094)  6 Mg 2.82-3.11, 2 Mo 3.05, 2 Hf 3.10
Mo (0.0000, 0.0000, 0.4968)  2 Hf 2.90, 10 Mg 2.97-3.20
Mo (0.0000, 0.5000, 0.9968)  2 Hf 2.90, 10 Mg 2.97-3.20

Computed properties:
Offset from the most stable computed form, eV/atom: 0.062
ΔE_f, eV/atom: 0.235
Space group: Amm2, No. 38



3.
This record from the Alexandria database describes a relaxed Hf2MgMo crystal. The functional is PBE.

a = 3.4042 Å, b = 3.4042 Å, c = 7.0356 Å
α = 90.00°, β = 90.00°, γ = 90.00°
Last column: nearest neighbours and their distance in Å.
Fractional positions:
Hf (0.0000, 0.0000, 0.2161)  4 Mo 2.85, 1 Hf 3.04, 4 Mg 3.13
Hf (0.0000, 0.0000, 0.7839)  4 Mo 2.85, 1 Hf 3.04, 4 Mg 3.13
Mg (0.5000, 0.5000, 0.5000)  8 Hf 3.13, 4 Mg 3.40
Mo (0.5000, 0.5000, 0.0000)  8 Hf 2.85

Computed properties:
ΔE_f, eV/atom: -0.032
Space group: P4/mmm, No. 123



4.
This record from the Alexandria database describes a relaxed HfMgMo3 crystal. The functional is PBE.

a = 4.8246 Å, b = 4.8246 Å, c = 4.8246 Å
α = 90.00°, β = 90.00°, γ = 90.00°
Last column: nearest neighbours and their distance in Å.
Fractional positions:
Hf (0.0000, 0.0000, 0.0000)  6 Mo 2.41
Mg (0.5000, 0.5000, 0.5000)  12 Mo 3.41
Mo (0.0000, 0.0000, 0.5000)  2 Hf 2.41
Mo (0.0000, 0.5000, 0.0000)  2 Hf 2.41
Mo (0.5000, 0.0000, 0.0000)  2 Hf 2.41

Computed properties:
Offset from the most stable computed form, eV/atom: 0.000
ΔE_f, eV/atom: 1.752
Space group: Pm-3m, No. 221



5.
This record from the Alexandria database describes a relaxed HfMg6Mo crystal. The functional is PBE.

a = 4.8998 Å, b = 6.1022 Å, c = 11.1327 Å
α = 90.00°, β = 90.00°, γ = 90.00°
Last column: nearest neighbours and their distance in Å.
Fractional positions:
Hf (0.0000, 0.0000, 0.0000)  2 Mo 2.71, 2 Mg 2.96
Hf (0.0000, 0.5000, 0.5000)  2 Mo 2.71, 2 Mg 2.96
Mg (0.0000, 0.0000, 0.4714)  10 Mg 3.00-3.28, 2 Hf 3.07
Mg (0.0000, 0.2437, 0.2300)  8 Mg 2.94-3.28, 1 Hf 2.96, 2 Mo 3.19
Mg (0.0000, 0.2563, 0.7300)  8 Mg 2.94-3.28, 1 Hf 2.96, 2 Mo 3.19
Mg (0.0000, 0.5000, 0.9714)  10 Mg 3.00-3.28, 2 Hf 3.07
Mg (0.0000, 0.7437, 0.7300)  8 Mg 2.94-3.28, 1 Hf 2.96, 2 Mo 3.19
Mg (0.0000, 0.7563, 0.2300)  8 Mg 2.94-3.28, 1 Hf 2.96, 2 Mo 3.19
Mg (0.5000, 0.0000, 0.6273)  10 Mg 3.00-3.20, 2 Mo 3.06
Mg (0.5000, 0.2454, 0.8758)  8 Mg 2.94-3.20, 1 Mo 2.95, 2 Hf 3.19
Mg (0.5000, 0.2546, 0.3758)  8 Mg 2.94-3.20, 1 Mo 2.95, 2 Hf 3.19
Mg (0.5000, 0.5000, 0.1273)  10 Mg 3.00-3.20, 2 Mo 3.06
Mg (0.5000, 0.7454, 0.3758)  8 Mg 2.94-3.20, 1 Mo 2.95, 2 Hf 3.19
Mg (0.5000, 0.7546, 0.8758)  8 Mg 2.94-3.20, 1 Mo 2.95, 2 Hf 3.19
Mo (0.5000, 0.0000, 0.1043)  2 Hf 2.71, 2 Mg 2.95
Mo (0.5000, 0.5000, 0.6043)  2 Hf 2.71, 2 Mg 2.95

Computed properties:
Offset from the most stable computed form, eV/atom: 0.000
ΔE_f, eV/atom: 0.172
Space group: Amm2, No. 38



6.
This record from the Alexandria database describes a relaxed HfMgMo3 crystal. The functional is PBE.

a = 4.6052 Å, b = 4.6052 Å, c = 4.6052 Å
α = 90.00°, β = 90.00°, γ = 90.00°
Last column: nearest neighbours and their distance in Å.
Fractional positions:
Hf (0.0000, 0.0000, 0.0000)  12 Mo 3.26
Mg (0.5000, 0.5000, 0.5000)  6 Mo 2.30
Mo (0.0000, 0.5000, 0.5000)  2 Mg 2.30
Mo (0.5000, 0.0000, 0.5000)  2 Mg 2.30
Mo (0.5000, 0.5000, 0.0000)  2 Mg 2.30

Computed properties:
Offset from the most stable computed form, eV/atom: 0.005
ΔE_f, eV/atom: 1.756
Space group: Pm-3m, No. 221



7.
This record from the Alexandria database describes a relaxed HfMgMo2 crystal. The functional is PBE.

a = 7.3804 Å, b = 7.3804 Å, c = 5.5196 Å
α = 90.00°, β = 90.00°, γ = 90.00°
Last column: nearest neighbours and their distance in Å.
Fractional positions:
Hf (0.0000, 0.0000, 0.0000)  2 Mg 2.76, 4 Mo 2.76
Hf (0.0000, 0.5000, 0.2500)  2 Mg 2.76, 4 Mo 2.76
Hf (0.5000, 0.0000, 0.7500)  2 Mg 2.76, 4 Mo 2.76
Hf (0.5000, 0.5000, 0.5000)  2 Mg 2.76, 4 Mo 2.76
Mg (0.0000, 0.0000, 0.5000)  4 Mo 2.64, 2 Hf 2.76
Mg (0.0000, 0.5000, 0.7500)  4 Mo 2.64, 2 Hf 2.76
Mg (0.5000, 0.0000, 0.2500)  4 Mo 2.64, 2 Hf 2.76
Mg (0.5000, 0.5000, 0.0000)  4 Mo 2.64, 2 Hf 2.76
Mo (0.2379, 0.2500, 0.6250)  2 Mg 2.64, 2 Hf 2.76, 2 Mo 2.77
Mo (0.2500, 0.7379, 0.8750)  2 Mg 2.64, 2 Hf 2.76, 2 Mo 2.77
Mo (0.2500, 0.7621, 0.3750)  2 Mg 2.64, 2 Hf 2.76, 2 Mo 2.77
Mo (0.2621, 0.2500, 0.1250)  2 Mg 2.64, 2 Hf 2.76, 2 Mo 2.77
Mo (0.7379, 0.7500, 0.1250)  2 Mg 2.64, 2 Hf 2.76, 2 Mo 2.77
Mo (0.7500, 0.2379, 0.3750)  2 Mg 2.64, 2 Hf 2.76, 2 Mo 2.77
Mo (0.7500, 0.2621, 0.8750)  2 Mg 2.64, 2 Hf 2.76, 2 Mo 2.77
Mo (0.7621, 0.7500, 0.6250)  2 Mg 2.64, 2 Hf 2.76, 2 Mo 2.77

Computed properties:
ΔE_f, eV/atom: 0.849
Space group: I-42d, No. 122



8.
This record from the Alexandria database describes a relaxed HfMg2Mo crystal. The functional is PBE.

a = 6.7152 Å, b = 6.7152 Å, c = 6.7152 Å
α = 90.00°, β = 90.00°, γ = 90.00°
Last column: nearest neighbours and their distance in Å.
Fractional positions:
Hf (0.0000, 0.0000, 0.0000)  8 Mg 2.91
Hf (0.0000, 0.5000, 0.5000)  8 Mg 2.91
Hf (0.5000, 0.0000, 0.5000)  8 Mg 2.91
Hf (0.5000, 0.5000, 0.0000)  8 Mg 2.91
Mg (0.2500, 0.2500, 0.2500)  4 Mo 2.91, 4 Hf 2.91
Mg (0.2500, 0.2500, 0.7500)  4 Hf 2.91, 4 Mo 2.91
Mg (0.2500, 0.7500, 0.2500)  4 Hf 2.91, 4 Mo 2.91
Mg (0.2500, 0.7500, 0.7500)  4 Mo 2.91, 4 Hf 2.91
Mg (0.7500, 0.2500, 0.2500)  4 Hf 2.91, 4 Mo 2.91
Mg (0.7500, 0.2500, 0.7500)  4 Mo 2.91, 4 Hf 2.91
Mg (0.7500, 0.7500, 0.2500)  4 Mo 2.91, 4 Hf 2.91
Mg (0.7500, 0.7500, 0.7500)  4 Hf 2.91, 4 Mo 2.91
Mo (0.0000, 0.0000, 0.5000)  8 Mg 2.91
Mo (0.0000, 0.5000, 0.0000)  8 Mg 2.91
Mo (0.5000, 0.0000, 0.0000)  8 Mg 2.91
Mo (0.5000, 0.5000, 0.5000)  8 Mg 2.91

Computed properties:
Offset from the most stable computed form, eV/atom: 0.000
ΔE_f, eV/atom: 0.487
Space group: Fm-3m, No. 225



9.
This record from the Alexandria database describes a relaxed Hf2MgMo crystal. The functional is PBE.

a = 4.0922 Å, b = 4.0922 Å, c = 20.0222 Å
α = 90.00°, β = 90.00°, γ = 90.00°
Last column: nearest neighbours and their distance in Å.
Fractional positions:
Hf (0.2365, 0.2500, 0.1250)  4 Hf 2.82-2.97, 2 Mo 2.87, 2 Mg 2.91
Hf (0.2500, 0.7365, 0.3750)  4 Hf 2.82-2.97, 2 Mo 2.87, 2 Mg 2.91
Hf (0.2500, 0.7635, 0.8750)  4 Hf 2.82-2.97, 2 Mo 2.87, 2 Mg 2.91
Hf (0.2635, 0.2500, 0.6250)  4 Hf 2.82-2.97, 2 Mo 2.87, 2 Mg 2.91
Hf (0.7365, 0.7500, 0.6250)  4 Hf 2.82-2.97, 2 Mo 2.87, 2 Mg 2.91
Hf (0.7500, 0.2365, 0.8750)  4 Hf 2.82-2.97, 2 Mo 2.87, 2 Mg 2.91
Hf (0.7500, 0.2635, 0.3750)  4 Hf 2.82-2.97, 2 Mo 2.87, 2 Mg 2.91
Hf (0.7635, 0.7500, 0.1250)  4 Hf 2.82-2.97, 2 Mo 2.87, 2 Mg 2.91
Mg (0.0000, 0.0000, 0.5000)  4 Mo 2.89, 4 Hf 2.91
Mg (0.0000, 0.5000, 0.7500)  4 Mo 2.89, 4 Hf 2.91
Mg (0.5000, 0.0000, 0.2500)  4 Mo 2.89, 4 Hf 2.91
Mg (0.5000, 0.5000, 0.0000)  4 Mo 2.89, 4 Hf 2.91
Mo (0.0000, 0.0000, 0.0000)  4 Hf 2.87, 4 Mg 2.89
Mo (0.0000, 0.5000, 0.2500)  4 Hf 2.87, 4 Mg 2.89
Mo (0.5000, 0.0000, 0.7500)  4 Hf 2.87, 4 Mg 2.89
Mo (0.5000, 0.5000, 0.5000)  4 Hf 2.87, 4 Mg 2.89

Computed properties:
ΔE_f, eV/atom: 0.720
Space group: I-42d, No. 122



10.
This record from the Alexandria database describes a relaxed HfMgNbMo2 crystal. The functional is PBE.

a = 4.7243 Å, b = 4.7243 Å, c = 4.9679 Å
α = 90.00°, β = 90.00°, γ = 90.00°
Last column: nearest neighbours and their distance in Å.
Fractional positions:
Hf (0.0000, 0.0000, 0.0000)  4 Mo 2.36, 2 Mg 2.48
Mg (0.0000, 0.0000, 0.5000)  2 Hf 2.48
Nb (0.5000, 0.5000, 0.5000)  4 Mg 3.34, 8 Mo 3.43
Mo (0.0000, 0.5000, 0.0000)  2 Hf 2.36
Mo (0.5000, 0.0000, 0.0000)  2 Hf 2.36

Computed properties:
ΔE_f, eV/atom: 1.817
Space group: P4/mmm, No. 123



11.
This record from the Alexandria database describes a relaxed Hf2MgNiMo crystal. The functional is PBE.

a = 4.7725 Å, b = 4.7725 Å, c = 4.4096 Å
α = 90.00°, β = 90.00°, γ = 90.00°
Last column: nearest neighbours and their distance in Å.
Fractional positions:
Hf (0.0000, 0.5000, 0.0000)  2 Ni 2.39
Hf (0.5000, 0.0000, 0.0000)  2 Ni 2.39
Mg (0.0000, 0.0000, 0.5000)  2 Ni 2.20
Ni (0.0000, 0.0000, 0.0000)  2 Mg 2.20, 4 Hf 2.39
Mo (0.5000, 0.5000, 0.5000)  8 Hf 3.25, 4 Mg 3.37

Computed properties:
ΔE_f, eV/atom: 0.598
Space group: P4/mmm, No. 123



Among the records above, which one has the lowest ΔE_f? number 3